SrInHg2Bi2 (GGA-PBE, relaxed); DFT formation energy = -0.232 eV/atom; volume = 31.77 A^3/atom; total moment = 0.00 μB per atom
1.0
-3.7188 4.2715 -2.4519
2.7077 -2.4323 -8.3442
-7.2977 -2.5087 6.6982
Bi Hg In Sr
4 4 2 2
Direct
0.2500 0.0110 0.4373
0.7500 0.4819 0.1797
0.7500 0.9890 0.5627
0.2500 0.5181 0.8203
0.0077 0.2028 0.2283
0.5077 0.7972 0.7717
0.4923 0.2028 0.2283
0.9923 0.7972 0.7717
0.7500 0.3436 0.5622
0.2500 0.6564 0.4378
0.7500 0.7629 0.0765
0.2500 0.2371 0.9235

---

LaSbSe (GGA-PBE, relaxed); volume = 31.16 A^3/atom; total moment = 0.00 μB per atom; ΔE_f (raw) = -1.2821 eV/atom
1.0
9.0556 0.0000 -0.0158
0.0000 4.0756 0.0000
-3.4725 0.0000 10.1376
Se La Sb
4 4 4
Direct
0.8764 0.0000 0.5850
0.1236 0.0000 0.4150
0.8764 0.5000 0.0850
0.1236 0.5000 0.9150
0.8351 0.0000 0.8493
0.1649 0.0000 0.1507
0.1649 0.5000 0.6507
0.8351 0.5000 0.3493
0.4616 0.0000 0.8321
0.5384 0.0000 0.1679
0.4616 0.5000 0.3321
0.5384 0.5000 0.6679

---

N(E_F)
In order: 3.2 2.4
Unit: states/eV per cell